No. 1
{
  "formula": "Pm4HoIn",
  "functional": "PBE",
  "state": "optimized geometry",
  "space_group": "No. 36",
  "final_energy_ev_per_cell": -52.9,
  "e_above_lowest_polymorph_ev_per_atom": 0.0379,
  "crystal_system": "orthorhombic",
  "lattice": [[2.843, -10.638, 0.000], [2.843, 10.638, 0.000], [0.000, 0.000, 6.467]],
  "species": ["Pm", "Pm", "Pm", "Pm", "Pm", "Pm", "Pm", "Pm", "Ho", "Ho", "In", "In"],
  "fractional_positions": [[0.044, 0.956, 0.500], [0.188, 0.812, 0.655], [0.249, 0.751, 0.188], [0.438, 0.562, 0.318], [0.562, 0.438, 0.818], [0.751, 0.249, 0.688], [0.812, 0.188, 0.155], [0.956, 0.044, 0.000], [0.364, 0.636, 0.802], [0.636, 0.364, 0.302], [0.104, 0.896, 0.054], [0.896, 0.104, 0.554]]
}

=====

No. 2
{
  "formula": "PmHo8In6",
  "functional": "PBE",
  "state": "optimized geometry",
  "space_group": "No. 148",
  "final_energy_ev_per_cell": -60.9,
  "crystal_system": "trigonal",
  "lattice": [[4.520, 2.609, 6.465], [-4.520, 2.609, 6.465], [0.000, -5.219, 6.465]],
  "species": ["Pm", "Ho", "Ho", "Ho", "Ho", "Ho", "Ho", "Ho", "Ho", "In", "In", "In", "In", "In", "In"],
  "fractional_positions": [[0.000, 0.000, 0.000], [0.114, 0.446, 0.780], [0.220, 0.886, 0.554], [0.333, 0.333, 0.333], [0.446, 0.780, 0.114], [0.554, 0.220, 0.886], [0.667, 0.667, 0.667], [0.780, 0.114, 0.446], [0.886, 0.554, 0.220], [0.060, 0.722, 0.397], [0.278, 0.603, 0.940], [0.397, 0.060, 0.722], [0.603, 0.940, 0.278], [0.722, 0.397, 0.060], [0.940, 0.278, 0.603]]
}

=====

No. 3
{
  "formula": "Pm4Ho2In",
  "functional": "PBE",
  "state": "optimized geometry",
  "space_group": "No. 65",
  "final_energy_ev_per_cell": -28.1,
  "crystal_system": "orthorhombic",
  "lattice": [[3.085, -6.236, 0.000], [3.085, 6.236, 0.000], [0.000, 0.000, 6.070]],
  "species": ["Pm", "Pm", "Pm", "Pm", "Ho", "Ho", "In"],
  "fractional_positions": [[0.134, 0.866, 0.000], [0.331, 0.669, 0.500], [0.669, 0.331, 0.500], [0.866, 0.134, 0.000], [0.383, 0.617, 0.000], [0.617, 0.383, 0.000], [0.000, 0.000, 0.500]]
}

=====

No. 4
{
  "formula": "Pm3Ho3In2",
  "functional": "PBE",
  "state": "optimized geometry",
  "space_group": "No. 47",
  "final_energy_ev_per_cell": -35.6,
  "e_above_lowest_polymorph_ev_per_atom": 0.0000,
  "crystal_system": "orthorhombic",
  "lattice": [[4.869, 0.000, 0.000], [0.000, 4.885, 0.000], [0.000, 0.000, 9.844]],
  "species": ["Pm", "Pm", "Pm", "Ho", "Ho", "Ho", "In", "In"],
  "fractional_positions": [[0.000, 0.000, 0.000], [0.000, 0.000, 0.500], [0.500, 0.500, 0.000], [0.500, 0.000, 0.252], [0.500, 0.000, 0.748], [0.500, 0.500, 0.500], [0.000, 0.500, 0.253], [0.000, 0.500, 0.747]]
}